# K2HgAs2Pb

Crystalline K2HgAs2Pb at its relaxed geometry (PBE, OQMD).

Unit cell a=4.4915 b=4.4915 c=11.7530 alpha=90.00 beta=90.00 gamma=120.00
With the nearest neighbours (Å) after each atom.
Element x y z (fractional)
K  0.0000  0.0000  0.0000  3 As 3.44, 3 Hg 3.69, 3 Pb 3.78
K  0.3333  0.6667  0.4801  4 As 3.31-3.39
Hg  0.6667  0.3333  0.2229  3 As 2.62
As  0.0000  0.0000  0.6550  3 Pb 2.91
As  0.3333  0.6667  0.1920  3 Hg 2.62
Pb  0.6667  0.3333  0.7666  3 As 2.91

Computed properties:
As for the crystal system: trigonal. The total energy comes out at -2.8967 eV/atom. Its space group is P3m1, No. 156.